Record 1
# CsTl3Cd3 | the Alexandria database | PBE | optimized geometry
data_CsTl3Cd3
_cell_length_a 8.2450
_cell_length_b 8.2450
_cell_length_c 26.9465
_cell_angle_alpha 90.00
_cell_angle_beta 90.00
_cell_angle_gamma 120.00
_space_group_name_H-M_alt 'R -3'
_space_group_IT_number 148
_space_group_name_Hall '-R 3'
loop_
_atom_site_label
_atom_site_fract_x
_atom_site_fract_y
_atom_site_fract_z
_atom_site_occupancy
Cs1 0.0000 0.0000 0.1569 1
Tl1 0.0653 0.2647 0.7104 1
Cd1 0.0347 0.2252 0.5936 1
# - DFT total energy (eV/atom) = -1.49
# - density of states at the Fermi level (states/eV/atom) = 0.486
# - M_tot (μB/cell) = 0.00


Record 2
# CsTl6Cd | the Alexandria database | PBE | optimized geometry
data_CsTl6Cd
_cell_length_a 5.4540
_cell_length_b 5.4540
_cell_length_c 9.6215
_cell_angle_alpha 90.00
_cell_angle_beta 90.00
_cell_angle_gamma 90.00
_space_group_name_H-M_alt 'P 4/m m m'
_space_group_IT_number 123
_space_group_name_Hall '-P 4 2'
loop_
_atom_site_label
_atom_site_fract_x
_atom_site_fract_y
_atom_site_fract_z
_atom_site_occupancy
Cs1 0.0000 0.0000 0.0000 1
Tl1 0.0000 0.5000 0.3308 1
Tl2 0.5000 0.5000 0.1614 1
Cd1 0.0000 0.0000 0.5000 1
# - DFT total energy (eV/atom) = -2.01
# - density of states at the Fermi level (states/eV/atom) = 0.306
# - M_tot (μB/cell) = 0.00


Record 3
# Cs3Tl4Cd4 | the Alexandria database | PBE | optimized geometry
data_Cs3Tl4Cd4
_cell_length_a 5.3055
_cell_length_b 5.3952
_cell_length_c 16.0510
_cell_angle_alpha 99.42
_cell_angle_beta 99.45
_cell_angle_gamma 90.16
_space_group_name_H-M_alt 'P -1'
_space_group_IT_number 2
_space_group_name_Hall '-P 1'
loop_
_atom_site_label
_atom_site_fract_x
_atom_site_fract_y
_atom_site_fract_z
_atom_site_occupancy
Cs1 0.0000 0.0000 0.0000 1
Cs2 0.3518 0.8521 0.7023 1
Tl1 0.0979 0.5973 0.1999 1
Tl2 0.2500 0.2486 0.4991 1
Cd1 0.1977 0.6969 0.3955 1
Cd2 0.4532 0.4526 0.9035 1
# - DFT total energy (eV/atom) = -1.46
# - density of states at the Fermi level (states/eV/atom) = 0.716
# - M_tot (μB/cell) = 0.00


Record 4
# Cs2Tl12Cd7 | the Alexandria database | PBE | optimized geometry
data_Cs2Tl12Cd7
_cell_length_a 12.3743
_cell_length_b 12.3743
_cell_length_c 5.1483
_cell_angle_alpha 90.00
_cell_angle_beta 90.00
_cell_angle_gamma 120.00
_space_group_name_H-M_alt 'P -3'
_space_group_IT_number 147
_space_group_name_Hall '-P 3'
loop_
_atom_site_label
_atom_site_fract_x
_atom_site_fract_y
_atom_site_fract_z
_atom_site_occupancy
Cs1 0.3333 0.6667 0.2421 1
Tl1 0.0571 0.4343 0.7572 1
Tl2 0.1260 0.2542 0.2229 1
Cd1 0.0000 0.0000 0.5000 1
Cd2 0.1093 0.7099 0.7287 1
# - DFT total energy (eV/atom) = -1.74
# - density of states at the Fermi level (states/eV/atom) = 0.463
# - M_tot (μB/cell) = 0.00


Record 5
# CsTl3Cd3 | the Alexandria database | PBE | optimized geometry
data_CsTl3Cd3
_cell_length_a 8.3478
_cell_length_b 8.3478
_cell_length_c 8.3478
_cell_angle_alpha 90.00
_cell_angle_beta 90.00
_cell_angle_gamma 90.00
_space_group_name_H-M_alt 'P m -3 n'
_space_group_IT_number 223
_space_group_name_Hall '-P 4n 2 3'
loop_
_atom_site_label
_atom_site_fract_x
_atom_site_fract_y
_atom_site_fract_z
_atom_site_occupancy
Cs1 0.0000 0.0000 0.0000 1
Tl1 0.0000 0.2500 0.5000 1
Cd1 0.0000 0.5000 0.2500 1
# - DFT total energy (eV/atom) = -1.42
# - density of states at the Fermi level (states/eV/atom) = 0.936
# - M_tot (μB/cell) = 0.00


Record 6
# CsTlCd2 | the Alexandria database | PBE | optimized geometry
data_CsTlCd2
_cell_length_a 4.2090
_cell_length_b 4.2090
_cell_length_c 8.4000
_cell_angle_alpha 90.00
_cell_angle_beta 90.00
_cell_angle_gamma 90.00
_space_group_name_H-M_alt 'P 4/m m m'
_space_group_IT_number 123
_space_group_name_Hall '-P 4 2'
loop_
_atom_site_label
_atom_site_fract_x
_atom_site_fract_y
_atom_site_fract_z
_atom_site_occupancy
Cs1 0.0000 0.0000 0.0000 1
Tl1 0.0000 0.0000 0.5000 1
Cd1 0.5000 0.5000 0.3166 1
# - DFT total energy (eV/atom) = -1.24
# - density of states at the Fermi level (states/eV/atom) = 0.650
# - M_tot (μB/cell) = 0.00


Record 7
# CsTl9Cd2 | the Alexandria database | PBE | optimized geometry
data_CsTl9Cd2
_cell_length_a 13.3940
_cell_length_b 13.3940
_cell_length_c 8.7390
_cell_angle_alpha 90.00
_cell_angle_beta 90.00
_cell_angle_gamma 90.00
_space_group_name_H-M_alt 'I 41/a m d'
_space_group_IT_number 141
loop_
_space_group_symop_operation_xyz
'x,y,z'
'-x,-y,-z'
'-y+1/4,x+3/4,z+1/4'
'y+1/4,-x+3/4,-z+1/4'
'-x+1/2,-y,z+1/2'
'x+1/2,y,-z+1/2'
'y+1/4,-x+1/4,z+3/4'
'-y+1/4,x+1/4,-z+3/4'
'x,-y,-z'
'-x,y,z'
'-y+1/4,-x+1/4,-z+3/4'
'y+1/4,x+1/4,z+3/4'
'-x+1/2,y,-z+1/2'
'x+1/2,-y,z+1/2'
'y+1/4,x+3/4,-z+1/4'
'-y+1/4,-x+3/4,z+1/4'
'x+1/2,y+1/2,z+1/2'
'-x+1/2,-y+1/2,-z+1/2'
'-y+3/4,x+1/4,z+3/4'
'y+3/4,-x+1/4,-z+3/4'
'-x,-y+1/2,z'
'x,y+1/2,-z'
'y+3/4,-x+3/4,z+1/4'
'-y+3/4,x+3/4,-z+1/4'
'x+1/2,-y+1/2,-z+1/2'
'-x+1/2,y+1/2,z+1/2'
'-y+3/4,-x+3/4,-z+1/4'
'y+3/4,x+3/4,z+1/4'
'-x,y+1/2,-z'
'x,-y+1/2,z'
'y+3/4,x+1/4,-z+3/4'
'-y+3/4,-x+1/4,z+3/4'
loop_
_atom_site_label
_atom_site_fract_x
_atom_site_fract_y
_atom_site_fract_z
_atom_site_occupancy
Cs1 0.0000 0.2500 0.3750 1
Tl1 0.0000 0.2500 0.8750 1
Tl2 0.1234 0.0513 0.6773 1
Cd1 0.0000 0.0000 0.0000 1
# - DFT total energy (eV/atom) = -2.03
# - density of states at the Fermi level (states/eV/atom) = 0.602
# - M_tot (μB/cell) = 0.00


Record 8
# CsTl3Cd | the Alexandria database | PBE | optimized geometry
data_CsTl3Cd
_cell_length_a 9.0129
_cell_length_b 7.3670
_cell_length_c 11.5743
_cell_angle_alpha 90.00
_cell_angle_beta 96.71
_cell_angle_gamma 90.00
_space_group_name_H-M_alt 'P 1 21/c 1'
_space_group_IT_number 14
_space_group_name_Hall '-P 2ybc'
loop_
_atom_site_label
_atom_site_fract_x
_atom_site_fract_y
_atom_site_fract_z
_atom_site_occupancy
Cs1 0.0816 0.1780 0.1501 1
Tl1 0.2507 0.6672 0.1257 1
Tl2 0.3520 0.1340 0.4376 1
Tl3 0.3549 0.5951 0.4223 1
Cd1 0.4934 0.1219 0.7263 1
# - DFT total energy (eV/atom) = -1.83
# - density of states at the Fermi level (states/eV/atom) = 0.463
# - M_tot (μB/cell) = 0.00